La2HgPt | SCAN | PBEsol geometry

Lattice parameters (Å, degrees): 3.7054 3.7054 7.4897 90.00 90.00 90.00
Closest atoms and distances in Å follow each position.
Atoms (fractional coordinates):
La (0.0000, 0.0000, 0.2242)  4 Pt 3.11, 4 Hg 3.34, 1 La 3.36
La (0.0000, 0.0000, 0.7758)  4 Pt 3.11, 4 Hg 3.34, 1 La 3.36
Hg (0.5000, 0.5000, 0.5000)  8 La 3.34, 4 Hg 3.71
Pt (0.5000, 0.5000, 0.0000)  8 La 3.11

Summary:
The calculation puts the size of the total moment at 0.00 μB/f.u. As for the symmetry: No. 123. The calculation puts the energy of formation from the pure elements at -0.99 eV/atom. The volume is 102.84 Å³ per cell. The value obtained for the total energy is -57.131 eV/atom.